# HfU2PaP4 | Alexandria | PBE | optimized geometry
# Fermi-level density of states   13.75 states/eV per cell
# Total energy   -9.10 eV/atom
# V   20.71 Å³/atom
# DFT formation energy   -1.145 eV/atom
data_HfU2PaP4
_chemical_formula_sum 'Hf1 U2 Pa1 P4'
_space_group_name_H-M_alt 'P 1'
_space_group_IT_number 1
_cell_length_a 6.690
_cell_length_b 3.865
_cell_length_c 6.784
_cell_angle_alpha 90.00
_cell_angle_beta 109.13
_cell_angle_gamma 90.00
loop_
_space_group_symop_operation_xyz
'x,y,z'
loop_
_atom_site_label
_atom_site_fract_x
_atom_site_fract_y
_atom_site_fract_z
Hf1 0.000 0.000 0.000
U1 0.000 0.500 0.500
U2 0.500 0.000 0.500
Pa1 0.500 0.500 0.000
P1 0.237 0.500 0.240
P2 0.240 0.000 0.754
P3 0.760 0.000 0.246
P4 0.763 0.500 0.760